1.
Entry from Alexandria: a geometry-optimized Y5Tl2H structure (PBE-GGA).

abc: 6.9720 6.9720 8.9839
angles: 90.00 90.00 90.00
Closest atoms and distances in Å follow each position.
Space group I4mm (No. 107)
One atom of each set of equivalent atoms:
Y (0.0000, 0.0000, 0.0000)  1 H 2.23
Y (0.2484, 0.2484, 0.7456)  1 H 2.48
Tl (0.0000, 0.5000, 0.4968)  10 Y 3.33-3.49
H (0.0000, 0.0000, 0.2479)  5 Y 2.23-2.48

Computed properties:
* E: -5.206 eV/atom
* D(E_F): 9.0 states/eV/f.u.

=====

2.
Entry from Alexandria: a geometry-optimized Sm2Dy4Y7 structure (PBE-GGA).

abc: 6.1787 7.9813 9.4506
angles: 65.09 83.79 82.54
Closest atoms and distances in Å follow each position.
Space group P-1 (No. 2)
One atom of each set of equivalent atoms:
Sm (0.1542, 0.1918, 0.3843)  7 Y 3.56-3.58, 4 Dy 3.57-3.59, 1 Sm 3.57
Dy (0.3072, 0.8830, 0.7708)  2 Dy 3.55-3.56, 7 Y 3.56-3.58, 3 Sm 3.57-3.59
Dy (0.4609, 0.5764, 0.1529)  3 Dy 3.55-3.56, 8 Y 3.56-3.58, 1 Sm 3.57
Y (0.0000, 0.5000, 0.0000)  6 Dy 3.56-3.57, 4 Y 3.57, 2 Sm 3.57
Y (0.0768, 0.3455, 0.6926)  7 Y 3.56-3.58, 3 Dy 3.57-3.58, 2 Sm 3.58
Y (0.2321, 0.0382, 0.0767)  6 Y 3.55-3.58, 5 Dy 3.56-3.57, 1 Sm 3.57
Y (0.3859, 0.7306, 0.4616)  5 Y 3.56-3.58, 3 Sm 3.56-3.58, 4 Dy 3.58

Computed properties:
* formation enthalpy at 0 K: 21 meV per atom
* D(E_F): 18.7 states/eV/f.u.

=====

3.
Entry from Alexandria: a geometry-optimized ErCu5Pd8 structure (PBE-GGA).

abc: 7.5029 7.5029 7.7876
angles: 90.00 90.00 90.00
Closest atoms and distances in Å follow each position.
Space group I-4 (No. 82)
One atom of each set of equivalent atoms:
Er (0.0000, 0.0000, 0.0000)  4 Pd 2.66
Cu (0.0000, 0.5000, 0.7500)  8 Pd 2.47-2.64
Cu (0.1291, 0.2832, 0.3318)  8 Pd 2.54-2.74
Pd (0.0714, 0.1686, 0.6581)  5 Cu 2.64-2.74, 3 Pd 2.74-2.80
Pd (0.0972, 0.3413, 0.0115)  5 Cu 2.47-2.66, 1 Er 2.66, 1 Pd 2.74

Computed properties:
* formation enthalpy at 0 K: -156 meV per atom
* D(E_F): 3.7 states/eV/f.u.

=====

4.
Entry from Alexandria: a geometry-optimized Cu4PdPt7 structure (PBE-GGA).

abc: 2.7494 2.7494 26.7437
angles: 90.00 90.00 120.00
Closest atoms and distances in Å follow each position.
Space group P-3m1 (No. 164)
One atom of each set of equivalent atoms:
Cu (0.3333, 0.6667, 0.1684)  6 Pt 2.66, 6 Cu 2.75
Cu (0.3333, 0.6667, 0.4193)  6 Pt 2.66-2.68, 6 Cu 2.75
Pd (0.0000, 0.0000, 0.0000)  6 Pd 2.75, 6 Pt 2.85
Pt (0.0000, 0.0000, 0.2483)  3 Cu 2.66, 9 Pt 2.75-2.91
Pt (0.0000, 0.0000, 0.5000)  6 Cu 2.68, 6 Pt 2.75
Pt (0.3333, 0.6667, 0.6606)  3 Cu 2.66, 9 Pt 2.75-2.91
Pt (0.3333, 0.6667, 0.9115)  3 Cu 2.66, 6 Pt 2.75, 3 Pd 2.85

Computed properties:
* formation enthalpy at 0 K: -117 meV per atom
* D(E_F): 14.1 states/eV/f.u.

=====

5.
Entry from Alexandria: a geometry-optimized SrLiGdRh structure (PBE-GGA).

abc: 7.2474 7.2474 7.2474
angles: 90.00 90.00 90.00
Closest atoms and distances in Å follow each position.
Space group F-43m (No. 216)
One atom of each set of equivalent atoms:
Sr (0.0000, 0.0000, 0.0000)  4 Rh 3.14, 4 Li 3.14
Li (0.2500, 0.2500, 0.7500)  4 Gd 3.14, 4 Sr 3.14
Gd (0.0000, 0.0000, 0.5000)  4 Li 3.14, 4 Rh 3.14
Rh (0.2500, 0.2500, 0.2500)  4 Gd 3.14, 4 Sr 3.14

Computed properties:
* formation enthalpy at 0 K: -210 meV per atom
* D(E_F): 3.9 states/eV/f.u.

=====

6.
Entry from Alexandria: a geometry-optimized NdTh2Sc5 structure (PBE-GGA).

abc: 5.1674 9.2163 9.9961
angles: 90.00 90.00 90.00
Closest atoms and distances in Å follow each position.
Space group Immm (No. 71)
One atom of each set of equivalent atoms:
Nd (0.0000, 0.0000, 0.0000)  4 Th 3.22
Th (0.0000, 0.5000, 0.3071)  7 Sc 3.07-3.30, 2 Nd 3.22
Sc (0.0000, 0.1630, 0.3323)  2 Sc 3.00-3.35, 3 Th 3.12-3.30
Sc (0.0000, 0.5000, 0.0000)  2 Th 3.07, 8 Sc 3.43

Computed properties:
* formation enthalpy at 0 K: 374 meV per atom
* D(E_F): 12.1 states/eV/f.u.

=====

7.
Entry from Alexandria: a geometry-optimized YMg3Sc3 structure (PBE-GGA).

abc: 8.7555 5.2743 8.7570
angles: 90.00 119.96 90.00
Closest atoms and distances in Å follow each position.
Space group P2_1/m (No. 11)
One atom of each set of equivalent atoms:
Y (0.1670, 0.2500, 0.3334)  9 Mg 3.26-3.29, 3 Sc 3.41
Mg (0.0312, 0.2500, 0.6194)  5 Sc 3.17-3.38, 4 Mg 3.24-3.42, 3 Y 3.27-3.29
Mg (0.1192, 0.7500, 0.0881)  5 Sc 3.17-3.38, 4 Mg 3.24-3.42, 3 Y 3.27-3.29
Mg (0.4117, 0.7500, 0.5312)  5 Sc 3.17-3.38, 4 Mg 3.24-3.42, 3 Y 3.26-3.29
Sc (0.2722, 0.7500, 0.8024)  5 Mg 3.17-3.38, 6 Sc 3.24-3.25, 1 Y 3.41
Sc (0.3025, 0.2500, 0.0300)  5 Mg 3.17-3.38, 6 Sc 3.24-3.25, 1 Y 3.41
Sc (0.4701, 0.2500, 0.7723)  5 Mg 3.17-3.38, 6 Sc 3.24-3.25, 1 Y 3.41

Computed properties:
* formation enthalpy at 0 K: 4 meV per atom
* D(E_F): 10.5 states/eV/f.u.

=====

8.
Entry from Alexandria: a geometry-optimized CdAsPd2Au structure (PBE-GGA).

abc: 4.6881 4.6881 4.9538
angles: 90.00 90.00 90.00
Closest atoms and distances in Å follow each position.
Space group P4/mmm (No. 123)
One atom of each set of equivalent atoms:
Cd (0.0000, 0.0000, 0.0000)  2 As 2.48
As (0.0000, 0.0000, 0.5000)  4 Pd 2.34, 2 Cd 2.48
Pd (0.0000, 0.5000, 0.5000)  2 As 2.34
Au (0.5000, 0.5000, 0.0000)  4 Cd 3.31, 8 Pd 3.41

Computed properties:
* formation enthalpy at 0 K: 283 meV per atom
* D(E_F): 2.4 states/eV/f.u.

=====

9.
Entry from Alexandria: a geometry-optimized Ac4Tb3CeSe8 structure (PBE-GGA).

abc: 8.4819 8.4819 21.5687
angles: 90.00 90.00 120.00
Closest atoms and distances in Å follow each position.
Space group R-3m (No. 166, hexagonal axes)
One atom of each set of equivalent atoms:
Ac (0.0000, 0.0000, 0.0000)  6 Se 3.12
Ac (0.0000, 0.5000, 0.0000)  6 Se 3.16
Tb (0.0000, 0.5000, 0.5000)  6 Se 2.92
Ce (0.0000, 0.0000, 0.5000)  6 Se 2.96
Se (0.0000, 0.0000, 0.2407)  3 Tb 2.92, 3 Ac 3.16
Se (0.0042, 0.5021, 0.7583)  2 Tb 2.92, 1 Ce 2.96, 3 Ac 3.12-3.16

Computed properties:
* D(E_F): 12.7 states/eV/f.u.
* formation energy from raw total energies: -1.814 eV per atom

=====

10.
Entry from Alexandria: a geometry-optimized ScSiSb2I structure (PBE-GGA).

abc: 5.2154 5.2154 5.4175
angles: 90.00 90.00 90.00
Closest atoms and distances in Å follow each position.
Space group P4/mmm (No. 123)
One atom of each set of equivalent atoms:
Sc (0.0000, 0.0000, 0.0000)  4 I 3.69, 8 Sb 3.76
Si (0.5000, 0.5000, 0.5000)  4 Sb 2.61, 2 I 2.71
Sb (0.0000, 0.5000, 0.5000)  2 Si 2.61
I (0.5000, 0.5000, 0.0000)  2 Si 2.71

Computed properties:
* D(E_F): 3.2 states/eV/f.u.
* formation energy from raw total energies: 0.393 eV per atom

=====

11.
Entry from Alexandria: a geometry-optimized MgTi2Si structure (PBE-GGA).

abc: 7.2752 7.2752 5.3990
angles: 90.00 90.00 90.00
Closest atoms and distances in Å follow each position.
Space group I-42d (No. 122)
One atom of each set of equivalent atoms:
Mg (0.0000, 0.0000, 0.0000)  2 Si 2.70, 4 Ti 2.79
Ti (0.2240, 0.2500, 0.6250)  2 Si 2.53, 2 Ti 2.73, 2 Mg 2.79
Si (0.0000, 0.0000, 0.5000)  4 Ti 2.53, 2 Mg 2.70

Computed properties:
* D(E_F): 5.0 states/eV/f.u.
* formation energy from raw total energies: 0.141 eV per atom

=====

12.
Entry from Alexandria: a geometry-optimized Pr4YSc3Se8 structure (PBE-GGA).

abc: 8.0661 8.0661 20.7591
angles: 90.00 90.00 120.00
Closest atoms and distances in Å follow each position.
Space group R-3m (No. 166, hexagonal axes)
One atom of each set of equivalent atoms:
Pr (0.0000, 0.0000, 0.0000)  6 Se 2.98
Pr (0.0000, 0.5000, 0.0000)  6 Se 3.04
Y (0.0000, 0.0000, 0.5000)  6 Se 2.84
Sc (0.0000, 0.5000, 0.5000)  6 Se 2.77
Se (0.0000, 0.0000, 0.2390)  3 Sc 2.77, 3 Pr 3.04
Se (0.0080, 0.5040, 0.7593)  2 Sc 2.77, 1 Y 2.84, 3 Pr 2.98-3.04

Computed properties:
* D(E_F): 9.3 states/eV/f.u.
* formation energy from raw total energies: -1.725 eV per atom